# 1
Cs2NpCuSe4 | PBE-GGA | relaxed

Cell lengths 7.328, 7.328, 7.328 Å; angles 113.74, 113.74, 101.23 degrees
Fractional positions:
Cs (0.000, 0.000, 0.000)
Cs (0.750, 0.250, 0.500)
Np (0.250, 0.750, 0.500)
Cu (0.500, 0.500, 0.000)
Se (0.248, 0.145, 0.627)
Se (0.379, 0.752, 0.897)
Se (0.519, 0.621, 0.373)
Se (0.855, 0.481, 0.103)

The space group is No. 82.


# 2
CsNp2CuSe4 | PBE-GGA | relaxed

Cell lengths 7.660, 7.660, 14.497 Å; angles 90.00, 90.00, 148.26 degrees
Fractional positions:
Cs (0.106, 0.894, 0.750)
Cs (0.894, 0.106, 0.250)
Np (0.367, 0.633, 0.559)
Np (0.367, 0.633, 0.941)
Np (0.633, 0.367, 0.059)
Np (0.633, 0.367, 0.441)
Cu (0.167, 0.833, 0.250)
Cu (0.833, 0.167, 0.750)
Se (0.000, 0.000, 0.000)
Se (0.000, 0.000, 0.500)
Se (0.258, 0.742, 0.107)
Se (0.258, 0.742, 0.393)
Se (0.420, 0.580, 0.750)
Se (0.580, 0.420, 0.250)
Se (0.742, 0.258, 0.607)
Se (0.742, 0.258, 0.893)

The space group is No. 63.


# 3
CsNpCuTe3 | PBE-GGA | relaxed

Cell lengths 10.357, 4.399, 10.743 Å; angles 90.00, 113.06, 90.00 degrees
Fractional positions:
Cs (0.215, 0.250, 0.253)
Cs (0.785, 0.750, 0.747)
Np (0.319, 0.750, 0.844)
Np (0.681, 0.250, 0.156)
Cu (0.084, 0.250, 0.602)
Cu (0.916, 0.750, 0.398)
Te (0.121, 0.250, 0.859)
Te (0.193, 0.750, 0.541)
Te (0.473, 0.750, 0.156)
Te (0.527, 0.250, 0.844)
Te (0.807, 0.250, 0.459)
Te (0.879, 0.750, 0.141)

The space group is No. 11.


# 4
Cs3Cu5O4 | PBE-GGA | relaxed

Cell lengths 10.418, 7.667, 14.936 Å; angles 90.00, 106.17, 90.00 degrees
Fractional positions:
Cs (0.103, 0.171, 0.094)
Cs (0.103, 0.329, 0.594)
Cs (0.278, 0.699, 0.082)
Cs (0.278, 0.801, 0.582)
Cs (0.322, 0.093, 0.892)
Cs (0.322, 0.407, 0.392)
Cs (0.678, 0.593, 0.608)
Cs (0.678, 0.907, 0.108)
Cs (0.722, 0.199, 0.418)
Cs (0.722, 0.301, 0.918)
Cs (0.897, 0.671, 0.406)
Cs (0.897, 0.829, 0.906)
Cu (0.064, 0.677, 0.739)
Cu (0.064, 0.823, 0.239)
Cu (0.065, 0.077, 0.372)
Cu (0.065, 0.423, 0.872)
Cu (0.294, 0.565, 0.856)
Cu (0.294, 0.935, 0.356)
Cu (0.429, 0.042, 0.232)
Cu (0.429, 0.458, 0.732)
Cu (0.472, 0.209, 0.627)
Cu (0.472, 0.291, 0.127)
Cu (0.528, 0.709, 0.873)
Cu (0.528, 0.791, 0.373)
Cu (0.571, 0.542, 0.268)
Cu (0.571, 0.958, 0.768)
Cu (0.706, 0.065, 0.644)
Cu (0.706, 0.435, 0.144)
Cu (0.935, 0.577, 0.128)
Cu (0.935, 0.923, 0.628)
Cu (0.936, 0.177, 0.761)
Cu (0.936, 0.323, 0.261)
O (0.003, 0.205, 0.886)
O (0.003, 0.295, 0.386)
O (0.132, 0.648, 0.868)
O (0.132, 0.852, 0.368)
O (0.399, 0.073, 0.106)
O (0.399, 0.427, 0.606)
O (0.461, 0.018, 0.359)
O (0.461, 0.482, 0.859)
O (0.539, 0.518, 0.141)
O (0.539, 0.982, 0.641)
O (0.601, 0.573, 0.394)
O (0.601, 0.927, 0.894)
O (0.868, 0.148, 0.632)
O (0.868, 0.352, 0.132)
O (0.997, 0.705, 0.614)
O (0.997, 0.795, 0.114)

The space group is No. 14.


# 5
Cs2CuO | PBE-GGA | relaxed

Cell lengths 5.542, 5.542, 5.542 Å; angles 60.00, 60.00, 60.00 degrees
Fractional positions:
Cs (0.250, 0.250, 0.250)
Cs (0.750, 0.750, 0.750)
Cu (0.000, 0.000, 0.000)
O (0.500, 0.500, 0.500)

The space group is No. 225.


# 6
CsCu3O3 | PBE-GGA | relaxed

Cell lengths 8.625, 8.625, 8.625 Å; angles 38.74, 38.74, 38.74 degrees
Fractional positions:
Cs (0.167, 0.167, 0.167)
Cs (0.833, 0.833, 0.833)
Cu (0.062, 0.383, 0.704)
Cu (0.296, 0.938, 0.617)
Cu (0.383, 0.704, 0.062)
Cu (0.617, 0.296, 0.938)
Cu (0.704, 0.062, 0.383)
Cu (0.938, 0.617, 0.296)
O (0.054, 0.738, 0.396)
O (0.262, 0.604, 0.946)
O (0.396, 0.054, 0.738)
O (0.604, 0.946, 0.262)
O (0.738, 0.396, 0.054)
O (0.946, 0.262, 0.604)

The space group is No. 148.


# 7
Cs3Cu2O4 | PBE-GGA | relaxed

Cell lengths 8.221, 8.221, 8.221 Å; angles 147.28, 122.29, 67.94 degrees
Fractional positions:
Cs (0.000, 0.000, 0.000)
Cs (0.292, 0.792, 0.500)
Cs (0.708, 0.208, 0.500)
Cu (0.302, 0.500, 0.802)
Cu (0.698, 0.500, 0.198)
O (0.148, 0.375, 0.773)
O (0.397, 0.625, 0.773)
O (0.603, 0.375, 0.227)
O (0.852, 0.625, 0.227)

The space group is No. 71.


# 8
Cs2CuOsO6 | PBE-GGA | relaxed

Cell lengths 6.459, 6.459, 5.158 Å; angles 90.00, 90.00, 120.00 degrees
Fractional positions:
Cs (0.333, 0.667, 0.268)
Cs (0.667, 0.333, 0.732)
Cu (0.000, 0.000, 0.500)
Os (0.000, 0.000, 0.000)
O (0.136, 0.271, 0.780)
O (0.136, 0.864, 0.780)
O (0.271, 0.136, 0.220)
O (0.729, 0.864, 0.780)
O (0.864, 0.136, 0.220)
O (0.864, 0.729, 0.220)

The space group is No. 164.


# 9
Cs2CuOsO4 | PBE-GGA | relaxed

Cell lengths 12.749, 11.489, 6.730 Å; angles 84.52, 63.78, 31.70 degrees
Fractional positions:
Cs (0.044, 0.044, 0.706)
Cs (0.294, 0.294, 0.956)
Cs (0.706, 0.706, 0.044)
Cs (0.956, 0.956, 0.294)
Cu (0.125, 0.125, 0.125)
Cu (0.875, 0.875, 0.875)
Os (0.375, 0.375, 0.375)
Os (0.625, 0.625, 0.625)
O (0.034, 0.609, 0.595)
O (0.263, 0.595, 0.609)
O (0.391, 0.966, 0.737)
O (0.405, 0.737, 0.966)
O (0.595, 0.263, 0.034)
O (0.609, 0.034, 0.263)
O (0.737, 0.405, 0.391)
O (0.966, 0.391, 0.405)

The space group is No. 70.


# 10
CsCuPO2 | PBE-GGA | relaxed

Cell lengths 4.172, 4.172, 7.441 Å; angles 90.00, 90.00, 90.00 degrees
Fractional positions:
Cs (0.000, 0.000, 0.000)
Cu (0.500, 0.500, 0.500)
P (0.000, 0.000, 0.500)
O (0.000, 0.500, 0.000)
O (0.500, 0.000, 0.000)

The energy above the most stable polymorph in this dataset is 0.919 eV/atom. The space group is No. 123.


# 11
Cs2Cu3P4O14 | PBE-GGA | relaxed

Cell lengths 8.059, 11.348, 7.875 Å; angles 90.00, 104.93, 90.00 degrees
Fractional positions:
Cs (0.247, 0.183, 0.465)
Cs (0.247, 0.317, 0.965)
Cs (0.753, 0.683, 0.035)
Cs (0.753, 0.817, 0.535)
Cu (0.000, 0.000, 0.000)
Cu (0.000, 0.500, 0.500)
Cu (0.285, 0.611, 0.270)
Cu (0.285, 0.889, 0.770)
Cu (0.715, 0.111, 0.230)
Cu (0.715, 0.389, 0.730)
P (0.138, 0.657, 0.843)
P (0.138, 0.843, 0.343)
P (0.383, 0.545, 0.664)
P (0.383, 0.955, 0.164)
P (0.617, 0.045, 0.836)
P (0.617, 0.455, 0.336)
P (0.862, 0.157, 0.657)
P (0.862, 0.343, 0.157)
O (0.005, 0.096, 0.795)
O (0.005, 0.404, 0.295)
O (0.110, 0.708, 0.337)
O (0.110, 0.792, 0.837)
O (0.153, 0.603, 0.023)
O (0.153, 0.897, 0.523)
O (0.238, 0.046, 0.107)
O (0.238, 0.454, 0.607)
O (0.321, 0.641, 0.792)
O (0.321, 0.859, 0.292)
O (0.423, 0.618, 0.516)
O (0.423, 0.882, 0.016)
O (0.456, 0.508, 0.211)
O (0.456, 0.992, 0.711)
O (0.544, 0.008, 0.289)
O (0.544, 0.492, 0.789)
O (0.577, 0.118, 0.984)
O (0.577, 0.382, 0.484)
O (0.679, 0.141, 0.708)
O (0.679, 0.359, 0.208)
O (0.762, 0.546, 0.393)
O (0.762, 0.954, 0.893)
O (0.847, 0.103, 0.477)
O (0.847, 0.397, 0.977)
O (0.890, 0.208, 0.163)
O (0.890, 0.292, 0.663)
O (0.995, 0.596, 0.705)
O (0.995, 0.904, 0.205)

The space group is No. 14.


# 12
CsCuPO2 | PBE-GGA | relaxed

Cell lengths 4.239, 4.239, 4.490 Å; angles 90.00, 90.00, 90.00 degrees
Fractional positions:
Cs (0.000, 0.000, 0.000)
Cu (0.500, 0.500, 0.500)
P (0.500, 0.500, 0.000)
O (0.000, 0.500, 0.500)
O (0.500, 0.000, 0.500)

The energy above the most stable polymorph in this dataset is 0.000 eV/atom. The space group is No. 123.


Listing energy relative to the elements, uncorrected for the structures above in their given order: -0.757, -1.037, -0.681, -0.861, 0.082, -0.567, -0.816, -1.041, -0.929, 1.176, -1.815, 0.257 eV/atom.